No. 1
Ce11Tc4Sn9 (PBE, optimized geometry); crystal system = orthorhombic; energy of formation from the pure elements = -504 meV per atom
1.0
7.184 -9.757 0.000
7.184 9.757 0.000
0.000 0.000 4.290
Ce Tc Sn
11 4 9
direct
0.000 0.000 0.000
0.076 0.418 0.000
0.168 0.832 0.000
0.311 0.311 0.000
0.371 0.629 0.000
0.418 0.076 0.000
0.582 0.924 0.000
0.629 0.371 0.000
0.689 0.689 0.000
0.832 0.168 0.000
0.924 0.582 0.000
0.253 0.419 0.500
0.419 0.253 0.500
0.581 0.747 0.500
0.747 0.581 0.500
0.059 0.216 0.500
0.157 0.618 0.500
0.216 0.059 0.500
0.382 0.843 0.500
0.500 0.500 0.500
0.618 0.157 0.500
0.784 0.941 0.500
0.843 0.382 0.500
0.941 0.784 0.500

---

No. 2
Ce8TcSn2 (PBE, optimized geometry); crystal system = monoclinic; energy of formation from the pure elements = -297 meV per atom
1.0
8.019 -2.823 0.000
8.019 2.823 0.000
-3.059 0.000 6.309
Ce Tc Sn
8 1 2
direct
0.000 0.000 0.234
0.000 0.000 0.766
0.139 0.139 0.639
0.376 0.376 0.087
0.376 0.376 0.665
0.624 0.624 0.335
0.624 0.624 0.913
0.861 0.861 0.361
0.500 0.500 0.500
0.198 0.198 0.198
0.802 0.802 0.802

---

No. 3
CeTcSn (PBE, optimized geometry); crystal system = monoclinic; distance to the lowest polymorph of the same formula = 0.000 eV/atom; energy of formation from the pure elements = -442 meV per atom
1.0
5.886 -2.453 0.000
5.886 2.453 0.000
-1.347 0.000 4.791
Ce Tc Sn
2 2 2
direct
0.133 0.133 0.333
0.867 0.867 0.667
0.188 0.188 0.830
0.812 0.812 0.170
0.417 0.417 0.188
0.583 0.583 0.812

---

No. 4
CeTcSn (PBE, optimized geometry); crystal system = monoclinic; distance to the lowest polymorph of the same formula = 0.121 eV/atom; energy of formation from the pure elements = -321 meV per atom
1.0
5.478 -2.272 0.000
5.478 2.272 0.000
-4.713 0.000 5.623
Ce Tc Sn
2 2 2
direct
0.060 0.060 0.316
0.940 0.940 0.684
0.370 0.370 0.326
0.630 0.630 0.674
0.325 0.325 0.897
0.675 0.675 0.103

---

Number 1: total magnetization 0.245 μB/atom, uncorrected energy -6.453 eV per atom. Number 2: total magnetization 0.354 μB/atom, uncorrected energy -6.282 eV per atom. Number 3: total magnetization 0.000 μB/atom, uncorrected energy -7.210 eV per atom. Number 4: total magnetization 0.023 μB/atom, uncorrected energy -7.088 eV per atom.